Record 1
## Rb2U3Te2O14 (PBE)

Data for a relaxed Rb2U3Te2O14 crystal.

Structure (CIF):
```
data_Rb2U3Te2O14
_chemical_formula_sum 'Rb2 U3 Te2 O14'
_cell_length_a 7.0301
_cell_length_b 7.4240
_cell_length_c 8.3884
_cell_angle_alpha 109.07
_cell_angle_beta 101.51
_cell_angle_gamma 97.53
_symmetry_space_group_name_H-M 'P -1'
_symmetry_Int_Tables_number 2
_symmetry_space_group_name_Hall '-P 1'
loop_
_atom_site_label
_atom_site_fract_x
_atom_site_fract_y
_atom_site_fract_z
Rb1 0.2010 0.3857 0.3365
U1 0.1024 0.1691 0.7378
U2 0.5000 0.0000 0.5000
Te1 0.3389 0.6713 0.0136
O1 0.1100 0.3884 0.6745
O2 0.1148 0.9663 0.8169
O3 0.1315 0.7372 0.1212
O4 0.1795 0.0028 0.4751
O5 0.3132 0.4137 0.0183
O6 0.4652 0.1925 0.7692
O7 0.4680 0.7790 0.5573
```

Its magnetic moment is 0.000 μB/f.u. As for the total energy: -7.7133 eV/atom.


Record 2
## ZnN2Cl (PBE)

Data for a relaxed ZnN2Cl crystal.

Structure (CIF):
```
data_ZnN2Cl
_chemical_formula_sum 'Zn4 N8 Cl4'
_cell_length_a 5.6735
_cell_length_b 5.6735
_cell_length_c 5.6735
_cell_angle_alpha 90.00
_cell_angle_beta 90.00
_cell_angle_gamma 90.00
_symmetry_space_group_name_H-M 'F m -3 m'
_symmetry_Int_Tables_number 225
_symmetry_space_group_name_Hall '-F 4 2 3'
loop_
_atom_site_label
_atom_site_fract_x
_atom_site_fract_y
_atom_site_fract_z
Zn1 0.0000 0.0000 0.0000
N1 0.2500 0.2500 0.2500
Cl1 0.0000 0.0000 0.5000
```

The calculation puts the energy above the most stable polymorph in this dataset at 1138 meV per atom. Its magnetic moment is 0.573 μB/f.u.


Record 3
## ErMgCdAu (PBE)

Data for a relaxed ErMgCdAu crystal.

Structure (CIF):
```
data_ErMgCdAu
_chemical_formula_sum 'Er4 Mg4 Cd4 Au4'
_cell_length_a 7.0056
_cell_length_b 7.0056
_cell_length_c 7.0056
_cell_angle_alpha 90.00
_cell_angle_beta 90.00
_cell_angle_gamma 90.00
_symmetry_space_group_name_H-M 'F -4 3 m'
_symmetry_Int_Tables_number 216
_symmetry_space_group_name_Hall 'F -4 2 3'
loop_
_atom_site_label
_atom_site_fract_x
_atom_site_fract_y
_atom_site_fract_z
Er1 0.0000 0.0000 0.0000
Mg1 0.0000 0.0000 0.5000
Cd1 0.2500 0.2500 0.2500
Au1 0.2500 0.2500 0.7500
```

Its magnetic moment is 0.000 μB/f.u. As for the total energy: -3.1248 eV/atom.


Record 4
## KHgN2O (PBE)

Data for a relaxed KHgN2O crystal.

Structure (CIF):
```
data_KHgN2O
_chemical_formula_sum 'K1 Hg1 N2 O1'
_cell_length_a 4.4594
_cell_length_b 4.4594
_cell_length_c 4.4901
_cell_angle_alpha 90.00
_cell_angle_beta 90.00
_cell_angle_gamma 90.00
_symmetry_space_group_name_H-M 'P 4/m m m'
_symmetry_Int_Tables_number 123
_symmetry_space_group_name_Hall '-P 4 2'
loop_
_atom_site_label
_atom_site_fract_x
_atom_site_fract_y
_atom_site_fract_z
K1 0.0000 0.0000 0.0000
Hg1 0.5000 0.5000 0.5000
N1 0.0000 0.5000 0.5000
O1 0.5000 0.5000 0.0000
```

Its magnetic moment is 3.724 μB/f.u. As for the total energy: -3.3020 eV/atom.


Record 5
## Sm5CoAu2 (PBE)

Data for a relaxed Sm5CoAu2 crystal.

Structure (CIF):
```
data_Sm5CoAu2
_chemical_formula_sum 'Sm10 Co2 Au4'
_cell_length_a 8.9275
_cell_length_b 11.9283
_cell_length_c 4.0521
_cell_angle_alpha 90.00
_cell_angle_beta 90.00
_cell_angle_gamma 90.00
_symmetry_space_group_name_H-M 'P b a m'
_symmetry_Int_Tables_number 55
_symmetry_space_group_name_Hall '-P 2 2ab'
loop_
_atom_site_label
_atom_site_fract_x
_atom_site_fract_y
_atom_site_fract_z
Sm1 0.0000 0.0000 0.0000
Sm2 0.1446 0.3020 0.0000
Sm3 0.1748 0.5767 0.5000
Co1 0.0000 0.5000 0.0000
Au1 0.0695 0.8222 0.5000
```

Its magnetic moment is 0.000 μB/f.u. As for the total energy: -5.1298 eV/atom.


Record 6
## Sr2CaVCd (PBE)

Data for a relaxed Sr2CaVCd crystal.

Structure (CIF):
```
data_Sr2CaVCd
_chemical_formula_sum 'Sr2 Ca1 V1 Cd1'
_cell_length_a 6.4456
_cell_length_b 6.4456
_cell_length_c 5.4553
_cell_angle_alpha 90.00
_cell_angle_beta 90.00
_cell_angle_gamma 90.00
_symmetry_space_group_name_H-M 'P 4/m m m'
_symmetry_Int_Tables_number 123
_symmetry_space_group_name_Hall '-P 4 2'
loop_
_atom_site_label
_atom_site_fract_x
_atom_site_fract_y
_atom_site_fract_z
Sr1 0.0000 0.5000 0.0000
Ca1 0.0000 0.0000 0.0000
V1 0.5000 0.5000 0.5000
Cd1 0.0000 0.0000 0.5000
```

Its magnetic moment is 0.236 μB/f.u. As for the total energy: -1.6560 eV/atom.


Record 7
## Ba2BePtBr (PBE)

Data for a relaxed Ba2BePtBr crystal.

Structure (CIF):
```
data_Ba2BePtBr
_chemical_formula_sum 'Ba2 Be1 Pt1 Br1'
_cell_length_a 6.1737
_cell_length_b 6.1737
_cell_length_c 4.3884
_cell_angle_alpha 90.00
_cell_angle_beta 90.00
_cell_angle_gamma 90.00
_symmetry_space_group_name_H-M 'P 4/m m m'
_symmetry_Int_Tables_number 123
_symmetry_space_group_name_Hall '-P 4 2'
loop_
_atom_site_label
_atom_site_fract_x
_atom_site_fract_y
_atom_site_fract_z
Ba1 0.0000 0.5000 0.0000
Be1 0.0000 0.0000 0.5000
Pt1 0.0000 0.0000 0.0000
Br1 0.5000 0.5000 0.5000
```

The calculation puts the energy above the most stable polymorph in this dataset at 0 meV per atom. Its magnetic moment is 0.000 μB/f.u.


Record 8
## ReRuCl (PBE)

Data for a relaxed ReRuCl crystal.

Structure (CIF):
```
data_ReRuCl
_chemical_formula_sum 'Re1 Ru1 Cl1'
_cell_length_a 2.8759
_cell_length_b 2.8759
_cell_length_c 6.3015
_cell_angle_alpha 90.00
_cell_angle_beta 90.00
_cell_angle_gamma 120.00
_symmetry_space_group_name_H-M 'P 3 m 1'
_symmetry_Int_Tables_number 156
_symmetry_space_group_name_Hall 'P 3 -2"'
loop_
_atom_site_label
_atom_site_fract_x
_atom_site_fract_y
_atom_site_fract_z
Re1 0.0000 0.0000 0.0000
Ru1 0.6667 0.3333 0.3144
Cl1 0.3333 0.6667 0.6674
```

The calculation puts the energy above the most stable polymorph in this dataset at 0 meV per atom. Its magnetic moment is 0.000 μB/f.u.


Record 9
## TaIn2Sb (PBE)

Data for a relaxed TaIn2Sb crystal.

Structure (CIF):
```
data_TaIn2Sb
_chemical_formula_sum 'Ta1 In2 Sb1'
_cell_length_a 3.2038
_cell_length_b 4.9928
_cell_length_c 5.9285
_cell_angle_alpha 90.00
_cell_angle_beta 105.54
_cell_angle_gamma 90.00
_symmetry_space_group_name_H-M 'P 1 m 1'
_symmetry_Int_Tables_number 6
_symmetry_space_group_name_Hall 'P -2y'
loop_
_atom_site_label
_atom_site_fract_x
_atom_site_fract_y
_atom_site_fract_z
Ta1 0.0000 0.0000 0.0000
In1 0.2627 0.0000 0.5230
In2 0.6012 0.5000 0.2043
Sb1 0.8683 0.5000 0.7340
```

Its magnetic moment is 0.000 μB/f.u. As for the total energy: -5.1096 eV/atom.


Record 10
## KReTe2 (PBE)

Data for a relaxed KReTe2 crystal.

Structure (CIF):
```
data_KReTe2
_chemical_formula_sum 'K2 Re2 Te4'
_cell_length_a 3.4480
_cell_length_b 3.5392
_cell_length_c 17.5825
_cell_angle_alpha 90.00
_cell_angle_beta 90.00
_cell_angle_gamma 90.00
_symmetry_space_group_name_H-M 'I m m 2'
_symmetry_Int_Tables_number 44
_symmetry_space_group_name_Hall 'I 2 -2'
loop_
_atom_site_label
_atom_site_fract_x
_atom_site_fract_y
_atom_site_fract_z
K1 0.0000 0.0000 0.0000
Re1 0.0000 0.5000 0.7434
Te1 0.0000 0.0000 0.3591
Te2 0.0000 0.5000 0.1686
```

The calculation puts the energy above the most stable polymorph in this dataset at 150 meV per atom. Its magnetic moment is 0.000 μB/f.u.


Record 11
## MnW2I (PBE)

Data for a relaxed MnW2I crystal.

Structure (CIF):
```
data_MnW2I
_chemical_formula_sum 'Mn4 W8 I4'
_cell_length_a 3.8337
_cell_length_b 3.8337
_cell_length_c 20.4056
_cell_angle_alpha 90.00
_cell_angle_beta 90.00
_cell_angle_gamma 90.00
_symmetry_space_group_name_H-M 'I -4 2 d'
_symmetry_Int_Tables_number 122
_symmetry_space_group_name_Hall 'I -4 2bw'
loop_
_atom_site_label
_atom_site_fract_x
_atom_site_fract_y
_atom_site_fract_z
Mn1 0.0000 0.0000 0.0000
W1 0.2291 0.2500 0.1250
I1 0.0000 0.0000 0.5000
```

The calculation puts the energy above the most stable polymorph in this dataset at 134 meV per atom. Its magnetic moment is 3.059 μB/f.u.


Record 12
## Y3Al3Zn (PBE)

Data for a relaxed Y3Al3Zn crystal.

Structure (CIF):
```
data_Y3Al3Zn
_chemical_formula_sum 'Y12 Al12 Zn4'
_cell_length_a 10.8708
_cell_length_b 4.4569
_cell_length_c 14.3619
_cell_angle_alpha 90.00
_cell_angle_beta 109.80
_cell_angle_gamma 90.00
_symmetry_space_group_name_H-M 'C 1 2/m 1'
_symmetry_Int_Tables_number 12
_symmetry_space_group_name_Hall '-C 2y'
loop_
_atom_site_label
_atom_site_fract_x
_atom_site_fract_y
_atom_site_fract_z
Y1 0.0379 0.0000 0.3823
Y2 0.1013 0.0000 0.9204
Y3 0.2438 0.0000 0.2222
Al1 0.0383 0.5000 0.2344
Al2 0.1102 0.5000 0.0746
Al3 0.1323 0.5000 0.5446
Zn1 0.2473 0.5000 0.3930
```

Its magnetic moment is 0.000 μB/f.u. As for the total energy: -5.0011 eV/atom.